VASP calculation (PBE with a Hubbard U) on Rb2MnAsO4 after structural relaxation.

a b c (Å): 12.4921 11.1233 6.9069
angles (deg): 84.26 62.37 33.38
Fractional coordinates of all 16 atoms:
Rb  0.0529  0.0529  0.6971
Rb  0.3029  0.3029  0.9471
Rb  0.6971  0.6971  0.0529
Rb  0.9471  0.9471  0.3029
Mn  0.1250  0.1250  0.1250
Mn  0.8750  0.8750  0.8750
As  0.3750  0.3750  0.3750
As  0.6250  0.6250  0.6250
O  0.0381  0.6298  0.5473
O  0.2849  0.5473  0.6298
O  0.3702  0.9619  0.7151
O  0.4527  0.7151  0.9619
O  0.5473  0.2849  0.0381
O  0.6298  0.0381  0.2849
O  0.7151  0.4527  0.3702
O  0.9619  0.3702  0.4527

Computed properties:
Calculated volume (Å³/cell): 377.93
Total energy (eV per atom): -5.54